(1)
## ZnIrAu2 (PBE)

Data for ZnIrAu2 after structural relaxation.

Calculated values
Total energy ... -16.180 eV/cell
ΔH_f (0 K) ... 128 meV per atom

a b c (Å): 9.3142 9.3142 9.3142
angles (deg): 17.63 17.63 17.63
Site moments in Bohr magnetons follow the coordinates.
Positions (direct):
Au: 0.0031 0.0031 0.0031  0.01
Au: 0.4969 0.4969 0.4969  0.01
Ir: 0.2500 0.2500 0.2500  0.55
Zn: 0.7500 0.7500 0.7500  0.00

---

(2)
## Sr6Sb2Te3Br (PBE)

Data for Sr6Sb2Te3Br after structural relaxation.

Calculated values
ΔE_f (raw) ... -17.62 eV/f.u.
Total energy ... -47.052 eV/cell

a b c (Å): 4.5745 9.7806 10.6595
angles (deg): 103.48 102.39 90.00
Positions (direct):
Sr: 0.3282 0.9145 0.6565
Sr: 0.6688 0.5848 0.3375
Sr: 0.6718 0.0855 0.3435
Sr: 0.0031 0.2597 0.0062
Sr: 0.9969 0.7403 0.9938
Sr: 0.3312 0.4152 0.6625
Sb: 0.8353 0.6722 0.6705
Sb: 0.1647 0.3278 0.3295
Te: 0.5000 0.5000 0.0000
Te: 0.8388 0.1645 0.6777
Te: 0.1612 0.8355 0.3223
Br: 0.5000 0.0000 0.0000

---

(3)
## SrMnSnBr6 (PBE)

Data for SrMnSnBr6 after structural relaxation.

Calculated values
ΔE_f (raw) ... -10.68 eV/f.u.
Total energy ... -71.135 eV/cell

a b c (Å): 7.3342 7.3342 12.9686
angles (deg): 90.00 90.00 120.00
Site moments in Bohr magnetons follow the coordinates.
Positions (direct):
Sr: 0.3333 0.6667 0.2500  0.00
Sr: 0.6667 0.3333 0.7500  0.00
Mn: 0.6667 0.3333 0.2500  4.38
Mn: 0.3333 0.6667 0.7500  4.38
Sn: 0.0000 0.0000 0.0000  0.03
Sn: 0.0000 0.0000 0.5000  0.03
Br: 0.6743 0.6365 0.1278  0.03
Br: 0.9622 0.3257 0.1278  0.03
Br: 0.3257 0.9622 0.6278  0.03
Br: 0.0378 0.6743 0.8722  0.03
Br: 0.3635 0.3257 0.3723  0.03
Br: 0.9622 0.6365 0.3723  0.03
Br: 0.6365 0.9622 0.8722  0.03
Br: 0.6743 0.0378 0.3723  0.03
Br: 0.0378 0.3635 0.6278  0.03
Br: 0.3635 0.0378 0.1278  0.03
Br: 0.6365 0.6743 0.6278  0.03
Br: 0.3257 0.3635 0.8722  0.03

---

(4)
## ThTe5 (PBE)

Data for ThTe5 after structural relaxation.

Calculated values
ΔE_f (raw) ... -2.89 eV/f.u.
Total energy ... -26.016 eV/cell

a b c (Å): 4.5006 4.5271 9.5561
angles (deg): 103.70 90.00 90.00
Positions (direct):
Te: 0.5000 0.8539 0.7078
Te: 0.0000 0.6465 0.2930
Te: 0.5000 0.5000 0.0000
Te: 0.0000 0.3535 0.7070
Te: 0.5000 0.1461 0.2922
Th: 0.0000 0.0000 0.0000